A geometry-optimized ScInBRh2 structure, computed with PBEsol.

Computed properties:
* E_form: 1.923 eV/atom
* space-group type: P4/mmm (123)

Geometry as POSCAR:
```
ScInBRh2
1.0
-2.759 3.718 1.049
-1.962 -2.459 3.555
3.608 1.770 3.215
Sc B Rh In
1 1 2 1
Direct
0.000 0.000 0.500
0.500 0.500 0.500
0.000 0.500 0.000
0.500 0.000 0.000
0.000 0.000 0.000
```

A geometry-optimized K2LiTlBr6 structure, computed with PBEsol.

Computed properties:
* ΔE_f (raw): -111 kJ per mole of atoms
* space-group type: Fm-3m (225)

Geometry as POSCAR:
```
K2LiTlBr6
1.0
7.609 0.000 0.000
3.805 6.590 0.000
3.805 2.197 6.213
K Li Tl Br
2 1 1 6
Direct
0.750 0.750 0.750
0.250 0.250 0.250
0.500 0.500 0.500
0.000 0.000 0.000
0.747 0.253 0.253
0.747 0.747 0.253
0.253 0.747 0.747
0.747 0.253 0.747
0.253 0.747 0.253
0.253 0.253 0.747
```

A geometry-optimized Ba2TiO4 structure, computed with PBEsol.

Computed properties:
* ΔE_f (raw): -290 kJ per mole of atoms
* space-group type: P2_1/c (14)

Geometry as POSCAR:
```
Ba2TiO4
1.0
-1.999 4.110 4.085
-6.504 -3.968 0.810
4.600 -6.059 7.251
Ba Ti O
8 4 16
Direct
0.722 0.001 0.698
0.778 0.501 0.802
0.278 0.999 0.302
0.222 0.499 0.198
0.269 0.343 0.574
0.231 0.843 0.926
0.731 0.657 0.426
0.769 0.157 0.074
0.240 0.779 0.583
0.260 0.279 0.917
0.760 0.221 0.417
0.740 0.721 0.083
0.167 0.681 0.427
0.333 0.181 0.073
0.833 0.319 0.573
0.667 0.819 0.927
0.496 0.673 0.637
0.004 0.173 0.863
0.504 0.327 0.363
0.996 0.827 0.137
0.022 0.742 0.690
0.478 0.242 0.810
0.978 0.258 0.310
0.522 0.758 0.190
0.709 0.991 0.435
0.791 0.491 0.065
0.291 0.009 0.565
0.209 0.509 0.935
```

A geometry-optimized Zn2AgPt structure, computed with PBEsol.

Computed properties:
* E_form: -0.302 eV/atom
* space-group type: Pmm2 (25)

Geometry as POSCAR:
```
Zn2AgPt
1.0
2.820 0.000 0.000
0.000 4.485 0.000
0.000 0.000 4.567
Zn Ag Pt
2 1 1
Direct
0.000 0.000 0.083
0.000 0.500 0.669
0.500 0.000 0.582
0.500 0.500 0.165
```

A geometry-optimized CdPtAu2 structure, computed with PBEsol.

Computed properties:
* E_form: -0.137 eV/atom
* space-group type: Pmm2 (25)

Geometry as POSCAR:
```
CdPtAu2
1.0
2.919 0.000 0.000
0.000 4.007 0.000
0.000 0.000 5.748
Au Pt Cd
2 1 1
Direct
0.000 0.000 0.999
0.500 0.500 0.246
0.500 0.500 0.748
0.000 0.000 0.508
```

A geometry-optimized CsTcB3 structure, computed with PBEsol.

Computed properties:
* E_form: 1.003 eV/atom
* space-group type: Pm-3m (221)

Geometry as POSCAR:
```
CsTcB3
1.0
-3.715 -0.617 2.138
0.105 -4.205 -1.032
2.223 -0.833 3.622
Cs B Tc
1 3 1
Direct
0.500 0.500 0.500
0.000 0.500 0.000
0.000 0.000 0.500
0.500 0.000 0.000
0.000 0.000 0.000
```